No. 1
NaGa | PBE | relaxed

Space group ... P6_3/mmc, No. 194
Formation enthalpy at 0 K ... 0.478 eV/atom

Cell lengths 5.1622, 5.1622, 5.9907 Å; angles 90.00, 90.00, 120.00 degrees
Element x y z (fractional)
Na (0.3333, 0.6667, 0.2500)
Na (0.6667, 0.3333, 0.7500)
Ga (0.3333, 0.6667, 0.7500)
Ga (0.6667, 0.3333, 0.2500)

***

No. 2
NaGa | PBE | relaxed

Space group ... I4/mmm, No. 139
Formation enthalpy at 0 K ... 0.009 eV/atom

Cell lengths 10.7659, 10.7659, 4.3965 Å; angles 90.00, 90.00, 90.00 degrees
Element x y z (fractional)
Na (0.2388, 0.5000, 0.0000)
Na (0.7612, 0.5000, 0.0000)
Na (0.5000, 0.7612, 0.0000)
Na (0.5000, 0.2388, 0.0000)
Na (0.7388, 0.0000, 0.5000)
Na (0.2612, 0.0000, 0.5000)
Na (0.0000, 0.2612, 0.5000)
Na (0.0000, 0.7388, 0.5000)
Ga (0.7871, 0.7871, 0.0000)
Ga (0.7871, 0.2129, 0.0000)
Ga (0.2129, 0.7871, 0.0000)
Ga (0.2129, 0.2129, 0.0000)
Ga (0.2871, 0.2871, 0.5000)
Ga (0.2871, 0.7129, 0.5000)
Ga (0.7129, 0.2871, 0.5000)
Ga (0.7129, 0.7129, 0.5000)

***

No. 3
NaGa | PBE | relaxed

Space group ... C2/m, No. 12
Formation enthalpy at 0 K ... -0.113 eV/atom

Cell lengths 6.0050, 4.5155, 7.8122 Å; angles 90.00, 115.97, 90.00 degrees
Element x y z (fractional)
Na (0.8237, 0.0000, 0.1087)
Na (0.1763, 0.0000, 0.8913)
Na (0.8237, 0.5000, 0.6087)
Na (0.1763, 0.5000, 0.3913)
Ga (0.5031, 0.0000, 0.6670)
Ga (0.4969, 0.0000, 0.3330)
Ga (0.5031, 0.5000, 0.1670)
Ga (0.4969, 0.5000, 0.8330)

***

No. 4
NaGa | PBE | relaxed

Space group ... P6_3/mmc, No. 194
Formation enthalpy at 0 K ... -0.068 eV/atom

Cell lengths 8.5207, 8.5207, 4.6023 Å; angles 90.00, 90.00, 120.00 degrees
Element x y z (fractional)
Na (0.8328, 0.6656, 0.2500)
Na (0.1672, 0.8328, 0.7500)
Na (0.3344, 0.1672, 0.2500)
Na (0.1672, 0.3344, 0.7500)
Na (0.8328, 0.1672, 0.2500)
Na (0.6656, 0.8328, 0.7500)
Ga (0.4409, 0.8818, 0.2500)
Ga (0.5591, 0.4409, 0.7500)
Ga (0.1182, 0.5591, 0.2500)
Ga (0.5591, 0.1182, 0.7500)
Ga (0.4409, 0.5591, 0.2500)
Ga (0.8818, 0.4409, 0.7500)

***

No. 5
NaGa | PBE | relaxed

Space group ... Imma, No. 74
Formation enthalpy at 0 K ... -0.048 eV/atom

Cell lengths 3.5883, 5.2302, 6.0229 Å; angles 115.73, 107.33, 90.00 degrees
Element x y z (fractional)
Na (0.1023, 0.8523, 0.2046)
Na (0.8977, 0.1477, 0.7954)
Ga (0.6570, 0.4070, 0.3141)
Ga (0.3430, 0.5930, 0.6859)

***

No. 6
NaGa | PBE | relaxed

Space group ... Cmcm, No. 63
Formation enthalpy at 0 K ... -0.010 eV/atom

Cell lengths 5.2160, 5.2160, 4.4827 Å; angles 90.00, 90.00, 112.85 degrees
Element x y z (fractional)
Na (0.6806, 0.3194, 0.2500)
Na (0.3194, 0.6806, 0.7500)
Ga (0.0531, 0.9469, 0.2500)
Ga (0.9469, 0.0531, 0.7500)

***

No. 7
NaGa | PBE | relaxed

Space group ... P4_2/mnm, No. 136
Formation enthalpy at 0 K ... 0.159 eV/atom

Cell lengths 5.9218, 5.9218, 6.0779 Å; angles 90.00, 90.00, 90.00 degrees
Element x y z (fractional)
Na (0.6777, 0.3223, 0.0000)
Na (0.1777, 0.1777, 0.5000)
Na (0.8223, 0.8223, 0.5000)
Na (0.3223, 0.6777, 0.0000)
Ga (0.8417, 0.8417, 0.0000)
Ga (0.3417, 0.6583, 0.5000)
Ga (0.6583, 0.3417, 0.5000)
Ga (0.1583, 0.1583, 0.0000)

***

No. 8
NaGa | PBE | relaxed

Space group ... C2/m, No. 12
Formation enthalpy at 0 K ... -0.037 eV/atom

Cell lengths 2.8971, 8.8404, 7.1882 Å; angles 90.00, 89.39, 90.00 degrees
Element x y z (fractional)
Na (0.5000, 0.2992, 0.5000)
Na (0.5000, 0.7008, 0.5000)
Na (0.5000, 0.7992, 0.0000)
Na (0.5000, 0.2008, 0.0000)
Ga (0.9880, 0.0000, 0.3195)
Ga (0.0120, 0.0000, 0.6805)
Ga (0.9880, 0.5000, 0.8195)
Ga (0.0120, 0.5000, 0.1805)

***

No. 9
Na13Ga2 | PBE | relaxed

Space group ... P-1, No. 2
Formation enthalpy at 0 K ... 0.021 eV/atom

Cell lengths 6.8996, 8.4240, 9.4221 Å; angles 111.58, 89.33, 101.55 degrees
Element x y z (fractional)
Na (0.7684, 0.5840, 0.9756)
Na (0.2316, 0.4160, 0.0244)
Na (0.0000, 0.0000, 0.0000)
Na (0.1750, 0.9951, 0.6459)
Na (0.8250, 0.0049, 0.3541)
Na (0.0471, 0.4275, 0.6377)
Na (0.9529, 0.5725, 0.3623)
Na (0.4762, 0.6554, 0.4337)
Na (0.5238, 0.3446, 0.5663)
Na (0.4063, 0.7736, 0.8558)
Na (0.5937, 0.2264, 0.1442)
Na (0.7074, 0.0923, 0.7479)
Na (0.2926, 0.9077, 0.2521)
Ga (0.8060, 0.7238, 0.6955)
Ga (0.1940, 0.2762, 0.3045)

***

No. 10
Na5Ga | PBE | relaxed

Space group ... Cmmm, No. 65
Formation enthalpy at 0 K ... 0.033 eV/atom

Cell lengths 3.7875, 5.6503, 9.1275 Å; angles 108.03, 90.00, 90.00 degrees
Element x y z (fractional)
Na (0.0000, 0.6748, 0.3497)
Na (0.0000, 0.3252, 0.6503)
Na (0.5000, 0.5000, 0.0000)
Na (0.5000, 0.1421, 0.2842)
Na (0.5000, 0.8579, 0.7158)
Ga (0.0000, 0.0000, 0.0000)

***

No. 11
NaGa | PBE | relaxed

Space group ... Pm-3n, No. 223
Formation enthalpy at 0 K ... 0.690 eV/atom

Cell lengths 8.3179, 8.3179, 8.3179 Å; angles 90.00, 90.00, 90.00 degrees
Element x y z (fractional)
Na (0.2500, 0.0000, 0.5000)
Na (0.7500, 0.0000, 0.5000)
Na (0.0000, 0.5000, 0.2500)
Na (0.0000, 0.5000, 0.7500)
Na (0.5000, 0.2500, 0.0000)
Na (0.5000, 0.7500, 0.0000)
Ga (0.2500, 0.5000, 0.0000)
Ga (0.7500, 0.5000, 0.0000)
Ga (0.5000, 0.0000, 0.2500)
Ga (0.5000, 0.0000, 0.7500)
Ga (0.0000, 0.2500, 0.5000)
Ga (0.0000, 0.7500, 0.5000)

***

No. 12
NaGa | PBE | relaxed

Space group ... P4/nmm, No. 129
Formation enthalpy at 0 K ... -0.037 eV/atom

Cell lengths 3.3261, 3.3261, 8.9174 Å; angles 90.00, 90.00, 90.00 degrees
Element x y z (fractional)
Na (0.0000, 0.5000, 0.6748)
Na (0.5000, 0.0000, 0.3252)
Ga (0.0000, 0.5000, 0.0862)
Ga (0.5000, 0.0000, 0.9138)

***

No. 13
NaGa | PBE | relaxed

Space group ... P2_1/m, No. 11
Formation enthalpy at 0 K ... -0.065 eV/atom

Cell lengths 3.2940, 4.6156, 6.2958 Å; angles 90.00, 105.06, 90.00 degrees
Element x y z (fractional)
Na (0.6683, 0.2500, 0.8379)
Na (0.3317, 0.7500, 0.1621)
Ga (0.9458, 0.2500, 0.3932)
Ga (0.0542, 0.7500, 0.6068)

***

No. 14
NaGa4 | PBE | relaxed

Space group ... I4/mmm, No. 139
Formation enthalpy at 0 K ... -0.149 eV/atom
Offset from the most stable computed form ... 0 meV per atom

Cell lengths 6.4026, 6.4026, 6.4026 Å; angles 141.08, 141.08, 56.22 degrees
Element x y z (fractional)
Na (0.0000, 0.0000, 0.0000)
Ga (0.2500, 0.7500, 0.5000)
Ga (0.6106, 0.6106, 0.0000)
Ga (0.7500, 0.2500, 0.5000)
Ga (0.3894, 0.3894, 0.0000)

***

No. 15
NaGa12 | PBE | relaxed

Space group ... Fm-3m, No. 225
Formation enthalpy at 0 K ... 0.053 eV/atom

Cell lengths 7.6587, 7.6587, 7.6587 Å; angles 60.00, 60.00, 60.00 degrees
Element x y z (fractional)
Na (0.0000, 0.0000, 0.0000)
Ga (0.8402, 0.5000, 0.5000)
Ga (0.1598, 0.5000, 0.5000)
Ga (0.1598, 0.8402, 0.5000)
Ga (0.5000, 0.5000, 0.1598)
Ga (0.5000, 0.1598, 0.8402)
Ga (0.5000, 0.8402, 0.1598)
Ga (0.1598, 0.5000, 0.8402)
Ga (0.5000, 0.1598, 0.5000)
Ga (0.5000, 0.5000, 0.8402)
Ga (0.8402, 0.5000, 0.1598)
Ga (0.5000, 0.8402, 0.5000)
Ga (0.8402, 0.1598, 0.5000)

***

No. 16
NaGa | PBE | relaxed

Space group ... F-43m, No. 216
Formation enthalpy at 0 K ... 0.620 eV/atom

Cell lengths 6.7174, 6.7174, 6.7174 Å; angles 90.00, 90.00, 90.00 degrees
Element x y z (fractional)
Na (0.2500, 0.2500, 0.2500)
Na (0.2500, 0.7500, 0.7500)
Na (0.7500, 0.2500, 0.7500)
Na (0.7500, 0.7500, 0.2500)
Ga (0.0000, 0.0000, 0.0000)
Ga (0.0000, 0.5000, 0.5000)
Ga (0.5000, 0.0000, 0.5000)
Ga (0.5000, 0.5000, 0.0000)

***

No. 17
NaNbGa3 | PBE | relaxed

Space group ... Pm-3m, No. 221
Formation enthalpy at 0 K ... 0.223 eV/atom
Offset from the most stable computed form ... 0 meV per atom

Cell lengths 5.0905, 5.0905, 5.0905 Å; angles 90.00, 90.00, 90.00 degrees
Element x y z (fractional)
Na (0.5000, 0.5000, 0.5000)
Nb (0.0000, 0.0000, 0.0000)
Ga (0.0000, 0.5000, 0.0000)
Ga (0.0000, 0.0000, 0.5000)
Ga (0.5000, 0.0000, 0.0000)

***

No. 18
Na3NbGa | PBE | relaxed

Space group ... Pm-3m, No. 221
Formation enthalpy at 0 K ... 1.104 eV/atom
Offset from the most stable computed form ... 0 meV per atom

Cell lengths 5.4532, 5.4532, 5.4532 Å; angles 90.00, 90.00, 90.00 degrees
Element x y z (fractional)
Na (0.0000, 0.5000, 0.0000)
Na (0.0000, 0.0000, 0.5000)
Na (0.5000, 0.0000, 0.0000)
Nb (0.5000, 0.5000, 0.5000)
Ga (0.0000, 0.0000, 0.0000)

***

No. 19
Na3NbGa | PBE | relaxed

Space group ... Pm-3m, No. 221
Formation enthalpy at 0 K ... 1.307 eV/atom
Offset from the most stable computed form ... 203 meV per atom

Cell lengths 5.8891, 5.8891, 5.8891 Å; angles 90.00, 90.00, 90.00 degrees
Element x y z (fractional)
Na (0.0000, 0.5000, 0.0000)
Na (0.0000, 0.0000, 0.5000)
Na (0.5000, 0.0000, 0.0000)
Nb (0.0000, 0.0000, 0.0000)
Ga (0.5000, 0.5000, 0.5000)

***

No. 20
Na2NbGaO5 | PBE | relaxed

Space group ... Cmc2_1, No. 36
Formation energy without anion corrections ... -1808 kJ/mol of formula units

Cell lengths 3.1056, 6.7739, 11.6442 Å; angles 90.00, 90.00, 103.25 degrees
Element x y z (fractional)
Na (0.8709, 0.7418, 0.7560)
Na (0.0909, 0.1817, 0.7071)
Na (0.1291, 0.2582, 0.2560)
Na (0.9091, 0.8183, 0.2071)
Nb (0.7492, 0.4985, 0.5181)
Nb (0.2508, 0.5015, 0.0181)
Ga (0.5187, 0.0374, 0.9521)
Ga (0.4813, 0.9626, 0.4521)
O (0.3938, 0.7876, 0.0385)
O (0.7475, 0.4950, 0.9073)
O (0.4937, 0.9875, 0.8017)
O (0.2676, 0.5353, 0.6325)
O (0.9144, 0.8288, 0.5106)
O (0.6062, 0.2124, 0.5385)
O (0.2525, 0.5050, 0.4073)
O (0.5063, 0.0125, 0.3017)
O (0.7324, 0.4647, 0.1325)
O (0.0856, 0.1712, 0.0106)

***

No. 21
NaNbGa2O6 | PBE | relaxed

Space group ... C2/c, No. 15
Formation energy without anion corrections ... -1984 kJ/mol of formula units

Cell lengths 6.0891, 7.3426, 7.3426 Å; angles 100.59, 74.23, 74.23 degrees
Element x y z (fractional)
Na (0.2500, 0.8950, 0.1050)
Na (0.7500, 0.1050, 0.8950)
Nb (0.2500, 0.1896, 0.8104)
Nb (0.7500, 0.8104, 0.1896)
Ga (0.3258, 0.7033, 0.5598)
Ga (0.1742, 0.4402, 0.2967)
Ga (0.6742, 0.2967, 0.4402)
Ga (0.8258, 0.5598, 0.7033)
O (0.1906, 0.9498, 0.7798)
O (0.3094, 0.2202, 0.0502)
O (0.8094, 0.0502, 0.2202)
O (0.6906, 0.7798, 0.9498)
O (0.4551, 0.8317, 0.3728)
O (0.0449, 0.6272, 0.1683)
O (0.5449, 0.1683, 0.6272)
O (0.9551, 0.3728, 0.8317)
O (0.0298, 0.6725, 0.5585)
O (0.4702, 0.4415, 0.3275)
O (0.9702, 0.3275, 0.4415)
O (0.5298, 0.5585, 0.6725)

***

No. 22
NaNbGaOs2 | PBE | relaxed

Space group ... P4/mmm, No. 123
Formation enthalpy at 0 K ... 1.583 eV/atom

Cell lengths 4.6107, 4.7691, 4.6107 Å; angles 90.00, 90.00, 90.00 degrees
Element x y z (fractional)
Na (0.5000, 0.5000, 0.5000)
Nb (0.0000, 0.5000, 0.0000)
Os (0.0000, 0.0000, 0.5000)
Os (0.5000, 0.0000, 0.0000)
Ga (0.0000, 0.0000, 0.0000)

***

No. 23
RbNaNbGa2 | PBE | relaxed

Space group ... P4/mmm, No. 123
Formation enthalpy at 0 K ... 1.678 eV/atom

Cell lengths 5.7007, 5.2392, 5.7007 Å; angles 90.00, 90.00, 90.00 degrees
Element x y z (fractional)
Na (0.0000, 0.5000, 0.0000)
Nb (0.5000, 0.5000, 0.5000)
Ga (0.0000, 0.0000, 0.5000)
Ga (0.5000, 0.0000, 0.0000)
Rb (0.0000, 0.0000, 0.0000)

***

No. 24
NaNbGa2S | PBE | relaxed

Space group ... P4/mmm, No. 123
Formation energy without anion corrections ... 504 kJ/mol of formula units

Cell lengths 4.8694, 4.5663, 4.8694 Å; angles 90.00, 90.00, 90.00 degrees
Element x y z (fractional)
Na (0.0000, 0.0000, 0.0000)
Nb (0.5000, 0.5000, 0.5000)
S (0.0000, 0.5000, 0.0000)
Ga (0.0000, 0.0000, 0.5000)
Ga (0.5000, 0.0000, 0.0000)

***

no.,M_tot (Bohr magnetons per cell)
1,0.0
2,0.0
3,0.0
4,0.2
5,0.0
6,0.0
7,0.0
8,0.0
9,0.0
10,0.0
11,0.0
12,0.0
13,0.0
14,0.0
15,0.0
16,0.0
17,0.0
18,3.6
19,4.9
20,0.0
21,0.0
22,0.0
23,3.3
24,0.0